1.
## V2ZnHIr (GGA-PBE)

Data for V2ZnHIr after structural relaxation.

The structure belongs to space group P4/mmm (No. 123); the cell edges are 3.734, 3.734 and 4.080 Å and the angles 90.00°, 90.00° and 90.00°. The inequivalent atoms are V at (0.000, 0.500, 0.000), Zn at (0.000, 0.000, 0.500), H at (0.000, 0.000, 0.000) and Ir at (0.500, 0.500, 0.500).

Its electronic total energy is -6.490 eV per atom. The calculation puts the relative energy among the computed polymorphs at 8 meV per atom.



2.
## ZnNiOs (GGA-PBE)

Data for ZnNiOs after structural relaxation.

The structure belongs to space group F-43m (No. 216); the cell edges are 5.778, 5.778 and 5.778 Å and the angles 90.00°, 90.00° and 90.00°. The inequivalent atoms are Zn at (0.000, 0.000, 0.000), Ni at (0.000, 0.000, 0.500) and Os at (0.250, 0.250, 0.250).

Its electronic total energy is -5.321 eV per atom. The calculation puts the relative energy among the computed polymorphs at 757 meV per atom.